## Li2NiIr (GGA-PBE)

Data for a relaxed Li2NiIr crystal.

Properties
Crystal system = tetragonal
Formation energy from the elements = 0.0035 eV per atom
Energy relative to the lowest polymorph listed for this composition = 17.2 kJ/mol of atoms
Uncorrected energy = -4.614 eV/atom
Space-group type = I4/mmm (139)

Structure (POSCAR):
```
Li2NiIr
1.0
-1.760 1.760 4.086
1.760 -1.760 4.086
1.760 1.760 -4.086
Li Ni Ir
2 1 1
Direct
0.250 0.750 0.500
0.750 0.250 0.500
0.000 0.000 0.000
0.500 0.500 0.000
```

***

## Li2NiIr (GGA-PBE)

Data for a relaxed Li2NiIr crystal.

Properties
Crystal system = monoclinic
Formation energy from the elements = -0.1743 eV per atom
Energy relative to the lowest polymorph listed for this composition = 0.0 kJ/mol of atoms
Uncorrected energy = -4.792 eV/atom
Space-group type = C2/m (12)

Structure (POSCAR):
```
Li2NiIr
1.0
4.401 -1.281 0.000
4.401 1.281 0.000
-0.813 0.000 4.422
Li Ni Ir
2 1 1
Direct
0.245 0.245 0.249
0.755 0.755 0.751
0.500 0.500 0.000
0.000 0.000 0.500
```

***

## Li6NiIr2 (GGA-PBE)

Data for a relaxed Li6NiIr2 crystal.

Properties
Crystal system = monoclinic
Formation energy from the elements = -0.0895 eV per atom
Energy relative to the lowest polymorph listed for this composition = 3.0 kJ/mol of atoms
Uncorrected energy = -3.977 eV/atom
Space-group type = C2/m (12)

Structure (POSCAR):
```
Li6NiIr2
1.0
3.587 -6.897 0.000
3.587 6.897 0.000
-0.214 0.000 2.559
Li Ni Ir
6 1 2
Direct
0.007 0.649 0.603
0.207 0.207 0.918
0.351 0.993 0.397
0.649 0.007 0.603
0.793 0.793 0.082
0.993 0.351 0.397
0.500 0.500 0.500
0.341 0.659 0.000
0.659 0.341 0.000
```